[1]
{
  "formula": "CsOs3Pt",
  "functional": "PBE",
  "state": "optimized geometry",
  "e_tot_ev_per_atom": -4.024,
  "dos_at_fermi_per_ev_atom": 0.878,
  "ef_ev_per_atom": 4.093,
  "lattice": [[4.867, 0.000, 0.000], [0.000, 4.867, 0.000], [0.000, 0.000, 4.867]],
  "species": ["Pt", "Os", "Os", "Os", "Cs"],
  "frac_coords": [[0.500, 0.500, 0.500], [0.000, 0.000, 0.500], [0.500, 0.000, 0.000], [0.000, 0.500, 0.000], [0.000, 0.000, 0.000]]
}

=====

[2]
{
  "formula": "RbAlFe3",
  "functional": "PBE",
  "state": "optimized geometry",
  "e_above_lowest_polymorph_mev_per_atom": 1262,
  "e_tot_ev_per_atom": -3.525,
  "dos_at_fermi_per_ev_atom": 1.278,
  "ef_ev_per_atom": 2.495,
  "lattice": [[-2.544, -3.189, 2.263], [2.062, -3.388, -2.456], [3.323, -0.339, 3.257]],
  "species": ["Fe", "Fe", "Fe", "Al", "Rb"],
  "frac_coords": [[0.000, 0.500, 0.000], [0.000, 0.000, 0.500], [0.500, 0.000, 0.000], [0.500, 0.500, 0.500], [0.000, 0.000, 0.000]]
}

=====

[3]
{
  "formula": "La6SmTh",
  "functional": "PBE",
  "state": "optimized geometry",
  "e_above_lowest_polymorph_mev_per_atom": 117,
  "e_tot_ev_per_atom": -5.071,
  "dos_at_fermi_per_ev_atom": 1.599,
  "ef_ev_per_atom": 0.142,
  "lattice": [[-4.172, 1.134, 5.317], [4.727, -2.818, 3.843], [0.480, 6.032, 3.500]],
  "species": ["Sm", "Th", "La", "La", "La", "La", "La", "La"],
  "frac_coords": [[0.000, 0.000, 0.000], [0.000, 0.500, 0.000], [0.454, 0.245, 0.450], [0.094, 0.754, 0.451], [0.540, 0.725, 0.001], [0.906, 0.246, 0.549], [0.460, 0.275, 0.999], [0.546, 0.755, 0.550]]
}

=====

[4]
{
  "formula": "Sr3U3NbN8",
  "functional": "PBE",
  "state": "optimized geometry",
  "e_tot_ev_per_atom": -8.829,
  "formation_energy_uncorrected_ev_per_atom": -1.124,
  "dos_at_fermi_per_ev_atom": 0.739,
  "lattice": [[-2.821, -0.414, -6.262], [1.025, -5.712, 3.697], [-5.198, 4.533, 2.041]],
  "species": ["U", "U", "U", "Sr", "Sr", "Sr", "N", "N", "N", "N", "N", "N", "N", "N", "Nb"],
  "frac_coords": [[0.500, 0.000, 0.500], [0.000, 0.500, 0.500], [0.500, 0.500, 0.500], [0.000, 0.000, 0.000], [0.500, 0.500, 0.000], [0.000, 0.500, 0.000], [0.778, 0.043, 0.321], [0.222, 0.957, 0.679], [0.265, 0.043, 0.321], [0.222, 0.444, 0.679], [0.735, 0.957, 0.679], [0.265, 0.530, 0.295], [0.778, 0.556, 0.321], [0.735, 0.470, 0.705], [0.000, 0.000, 0.500]]
}

=====

Which formula does entry 3 have? La6SmTh